1.
## Hg2OsW (GGA-PBE)

Data for an optimized crystal structure of Hg2OsW.

a = 4.903 Å, b = 4.903 Å, c = 4.903 Å
α = 128.25°, β = 128.25°, γ = 76.21°
Positions (direct):
Hg 0.000 0.000 0.000
Hg 0.250 0.750 0.500
Os 0.500 0.500 0.000
W 0.750 0.250 0.500

Values from the calculation:
* symmetry: I-4m2, No. 119
* size of the total moment: 0.000 μB per atom
* formation energy from the elements: 0.95 eV per atom
* calculated total energy: -0.1928 hartree per atom

2.
## GaAg8Se6 (GGA-PBE)

Data for an optimized crystal structure of GaAg8Se6.

a = 7.850 Å, b = 8.094 Å, c = 10.797 Å
α = 90.00°, β = 90.00°, γ = 90.00°
Positions (direct):
Ga 0.745 0.000 0.481
Ga 0.255 0.500 0.981
Ag 0.372 0.000 0.964
Ag 0.628 0.500 0.464
Ag 0.901 0.798 0.131
Ag 0.099 0.702 0.631
Ag 0.099 0.298 0.631
Ag 0.901 0.202 0.131
Ag 0.462 0.804 0.733
Ag 0.538 0.696 0.233
Ag 0.538 0.304 0.233
Ag 0.462 0.196 0.733
Ag 0.839 0.780 0.852
Ag 0.161 0.720 0.352
Ag 0.161 0.280 0.352
Ag 0.839 0.220 0.852
Ag 0.284 0.000 0.522
Ag 0.716 0.500 0.022
Se 0.709 0.000 0.994
Se 0.291 0.500 0.494
Se 0.186 0.000 0.753
Se 0.814 0.500 0.253
Se 0.989 0.000 0.340
Se 0.011 0.500 0.840
Se 0.504 0.000 0.343
Se 0.496 0.500 0.843
Se 0.249 0.749 0.104
Se 0.751 0.751 0.604
Se 0.751 0.249 0.604
Se 0.249 0.251 0.104

Values from the calculation:
* symmetry: Pmn2_1, No. 31
* size of the total moment: 0.000 μB per atom
* calculated total energy: -0.1203 hartree per atom

3.
## Cs2CaZrCl6 (GGA-PBE)

Data for an optimized crystal structure of Cs2CaZrCl6.

a = 7.603 Å, b = 7.603 Å, c = 7.603 Å
α = 60.00°, β = 60.00°, γ = 90.00°
Each line ends with the local moment (μB).
Positions (direct):
Cs 0.750 0.250 0.500  0.00
Cs 0.250 0.750 0.500  0.00
Ca 0.500 0.500 0.000  0.04
Zr 0.000 0.000 0.000  1.25
Cl 0.246 0.246 0.508  0.00
Cl 0.754 0.754 0.492  0.00
Cl 0.246 0.246 0.000  0.00
Cl 0.754 0.754 0.000  0.00
Cl 0.754 0.246 0.000  0.00
Cl 0.246 0.754 0.000  0.00

Values from the calculation:
* symmetry: Fm-3m, No. 225
* size of the total moment: 0.200 μB per atom
* calculated total energy: -0.1553 hartree per atom